# 1
11
Lattice="6.375 -3.684 0.000 6.375 3.684 0.000 -4.327 0.000 6.911" Properties=species:S:1:pos:R:3 comment="PBE Cs2PuGe2S6, relaxed" raw_formation_energy_mev_per_atom=-894 dos_ef_per_ev_fu=8.194 m_tot_mub_per_cell=4.0 pbc="T T T"
Cs 1.943 0.000 1.448
Cs 6.479 0.000 5.464
Pu -2.163 0.000 3.456
Ge 2.216 0.000 5.654
Ge 6.206 0.000 1.258
S 5.011 1.850 1.644
S 0.204 0.000 4.658
S 3.411 1.850 5.267
S 5.011 -1.850 1.644
S 8.218 0.000 2.253
S 3.411 -1.850 5.267

***

# 2
14
Lattice="6.607 0.000 0.000 0.000 6.781 0.000 -2.974 0.000 9.062" Properties=species:S:1:pos:R:3 comment="PBE CsPuGeS4, relaxed" raw_formation_energy_mev_per_atom=-1083 dos_ef_per_ev_fu=11.654 m_tot_mub_per_cell=10.0 pbc="T T T"
Cs 0.256 1.695 3.973
Cs 3.377 5.086 5.089
Pu -1.021 1.695 8.614
Pu 4.654 5.086 0.448
Ge 1.351 5.086 1.469
Ge 2.282 1.695 7.593
S -2.326 5.086 8.428
S -0.389 5.086 2.835
S 0.878 3.422 7.301
S 0.878 6.750 7.301
S 2.755 0.031 1.761
S 2.755 3.360 1.761
S 4.022 1.695 6.228
S 5.959 1.695 0.634

***

# 3
14
Lattice="6.845 0.000 0.000 0.000 7.077 0.000 -3.148 0.000 9.412" Properties=species:S:1:pos:R:3 comment="PBE CsPuGeSe4, relaxed" raw_formation_energy_mev_per_atom=-971 dos_ef_per_ev_fu=12.054 m_tot_mub_per_cell=10.0 pbc="T T T"
Cs 0.312 1.769 4.150
Cs 3.384 5.308 5.263
Pu -1.139 1.769 8.942
Pu 4.836 5.308 0.471
Ge 1.408 5.308 1.550
Ge 2.289 1.769 7.862
Se -2.457 5.308 8.705
Se -0.450 5.308 3.012
Se 0.796 3.613 7.539
Se 0.796 7.003 7.539
Se 2.900 0.074 1.873
Se 2.900 3.464 1.873
Se 4.147 1.769 6.400
Se 6.153 1.769 0.708

***

# 4
12
Lattice="9.259 0.000 0.000 0.000 4.178 0.000 -4.140 0.000 10.775" Properties=species:S:1:pos:R:3 comment="PBE CsPuGeSe3, relaxed" raw_formation_energy_mev_per_atom=-1066 dos_ef_per_ev_fu=10.077 m_tot_mub_per_cell=9.8 pbc="T T T"
Cs 1.048 1.044 3.003
Cs 4.071 3.133 7.772
Pu -0.186 3.133 9.093
Pu 5.304 1.044 1.683
Ge -1.137 1.044 6.083
Ge 6.255 3.133 4.692
Se -2.121 1.044 8.380
Se 0.516 3.133 6.267
Se 3.405 3.133 1.130
Se 1.714 1.044 9.645
Se 4.603 1.044 4.508
Se 7.239 3.133 2.395

***

# 5
16
Lattice="-4.466 4.636 6.371 4.466 -4.636 6.371 4.466 4.636 -6.371" Properties=species:S:1:pos:R:3 comment="PBE Cs2PuGeSe4, relaxed" raw_formation_energy_mev_per_atom=-936 dos_ef_per_ev_fu=9.550 m_tot_mub_per_cell=0.0 pbc="T T T"
Cs 0.000 0.000 0.000
Cs -2.233 2.318 3.186
Cs 0.000 4.636 0.000
Cs 2.233 2.318 3.186
Pu 2.233 2.318 -3.186
Pu 2.233 -2.318 3.186
Ge 4.466 0.000 0.000
Ge 0.000 0.000 6.371
Se 4.466 -0.454 2.906
Se 2.622 2.318 -0.369
Se 6.311 2.318 -0.369
Se 4.466 4.182 -2.906
Se 0.000 0.454 9.277
Se -1.844 2.318 6.740
Se 1.844 2.318 6.740
Se 0.000 5.090 3.465

***

# 6
12
Lattice="9.844 0.000 0.000 0.000 4.407 0.000 -4.700 0.000 11.361" Properties=species:S:1:pos:R:3 comment="PBE CsPuGeTe3, relaxed" raw_formation_energy_mev_per_atom=-771 dos_ef_per_ev_fu=12.624 m_tot_mub_per_cell=9.9 pbc="T T T"
Cs 1.002 1.102 3.188
Cs 4.143 3.305 8.173
Pu -0.395 3.305 9.551
Pu 5.540 1.102 1.809
Ge -1.438 1.102 6.340
Ge 6.583 3.305 5.021
Te -2.510 1.102 8.832
Te 0.399 3.305 6.525
Te 3.457 3.305 1.169
Te 1.687 1.102 10.192
Te 4.746 1.102 4.836
Te 7.655 3.305 2.528

***

# 7
18
Lattice="11.171 0.000 0.000 0.000 11.171 0.000 0.000 0.000 7.186" Properties=species:S:1:pos:R:3 comment="PBE CsRb4Ge4, relaxed" formation_energy_ev_per_atom=-0.016 dos_ef_per_ev_fu=6.321 m_tot_mub_per_cell=0.0 pbc="T T T"
Cs 2.793 2.793 1.796
Cs 8.378 8.378 5.389
Rb 1.014 7.259 0.671
Rb 1.673 10.156 4.264
Rb 3.912 6.600 4.264
Rb 4.571 9.498 0.671
Rb 6.600 1.673 6.515
Rb 7.259 4.571 2.922
Rb 9.498 1.014 2.922
Rb 10.156 3.912 6.515
Ge 0.324 6.456 4.260
Ge 0.870 10.847 0.667
Ge 4.715 5.910 0.667
Ge 5.261 10.300 4.260
Ge 5.910 0.870 2.926
Ge 6.456 5.261 6.518
Ge 10.300 0.324 6.518
Ge 10.847 4.715 2.926

***

# 8
16
Lattice="7.343 0.000 0.000 0.000 7.632 0.000 0.000 0.000 10.975" Properties=species:S:1:pos:R:3 comment="PBE CsRbGe2, relaxed" formation_energy_ev_per_atom=-0.091 dos_ef_per_ev_fu=2.035 polymorph_energy_mev_per_atom=0 m_tot_mub_per_cell=0.0 pbc="T T T"
Cs 0.004 1.908 2.258
Cs 3.668 5.724 7.746
Cs 3.676 1.908 3.229
Cs 7.339 5.724 8.717
Rb 1.118 1.908 9.470
Rb 2.554 5.724 3.982
Rb 4.790 1.908 6.992
Rb 6.225 5.724 1.505
Ge 0.954 0.683 5.972
Ge 0.954 3.133 5.972
Ge 2.718 4.499 0.484
Ge 2.718 6.949 0.484
Ge 4.625 0.683 10.491
Ge 4.625 3.133 10.491
Ge 6.390 4.499 5.003
Ge 6.390 6.949 5.003